(A)
A relaxed structure of Tb3Y2Er5. Source: Alexandria via LeMat-Bulk, functional PBE.

Geometry as CIF:
```
data_Tb3Y2Er5
_cell_length_a 6.226
_cell_length_b 11.050
_cell_length_c 11.050
_cell_angle_alpha 100.14
_cell_angle_beta 73.64
_cell_angle_gamma 73.64
_symmetry_space_group_name_H-M 'P 1'
_symmetry_Int_Tables_number 1
_symmetry_space_group_name_Hall 'P 1'
loop_
_atom_site_label
_atom_site_type_symbol
_atom_site_fract_x
_atom_site_fract_y
_atom_site_fract_z
Tb1 Tb 0.250 0.000 0.000
Tb2 Tb 0.750 0.000 0.000
Tb3 Tb 0.341 0.410 0.909
Tb4 Tb 0.659 0.590 0.091
Tb5 Tb 0.841 0.909 0.410
Tb6 Tb 0.159 0.091 0.590
Y1 Y 0.100 0.744 0.057
Y2 Y 0.900 0.256 0.943
Y3 Y 0.600 0.057 0.744
Y4 Y 0.400 0.943 0.256
Er1 Er 0.250 0.500 0.500
Er2 Er 0.750 0.500 0.500
Er3 Er 0.501 0.749 0.749
Er4 Er 0.999 0.251 0.251
Er5 Er 0.499 0.251 0.251
Er6 Er 0.001 0.749 0.749
Er7 Er 0.099 0.556 0.245
Er8 Er 0.901 0.444 0.755
Er9 Er 0.599 0.245 0.556
Er10 Er 0.401 0.755 0.444
```

(B)
A relaxed structure of Tb3Y2Er5. Source: Alexandria via LeMat-Bulk, functional PBE.

Geometry as CIF:
```
data_Tb3Y2Er5
_cell_length_a 9.487
_cell_length_b 9.463
_cell_length_c 9.411
_cell_angle_alpha 108.39
_cell_angle_beta 108.50
_cell_angle_gamma 111.80
_symmetry_space_group_name_H-M 'P 1'
_symmetry_Int_Tables_number 1
_symmetry_space_group_name_Hall 'P 1'
loop_
_atom_site_label
_atom_site_type_symbol
_atom_site_fract_x
_atom_site_fract_y
_atom_site_fract_z
Tb1 Tb 0.270 0.020 0.040
Tb2 Tb 0.730 0.980 0.960
Tb3 Tb 0.521 0.472 0.250
Tb4 Tb 0.479 0.528 0.750
Tb5 Tb 0.230 0.778 0.250
Tb6 Tb 0.770 0.222 0.750
Y1 Y 0.968 0.016 0.742
Y2 Y 0.032 0.984 0.258
Y3 Y 0.274 0.727 0.742
Y4 Y 0.726 0.273 0.258
Er1 Er 0.228 0.478 0.956
Er2 Er 0.772 0.522 0.044
Er3 Er 0.973 0.723 0.445
Er4 Er 0.477 0.227 0.454
Er5 Er 0.027 0.277 0.555
Er6 Er 0.523 0.773 0.546
Er7 Er 0.879 0.610 0.739
Er8 Er 0.121 0.390 0.261
Er9 Er 0.360 0.129 0.739
Er10 Er 0.640 0.871 0.261
```

Most stable: (B)

(A)
A relaxed structure of Tb3Y8Er3. Source: Alexandria via LeMat-Bulk, functional PBE.

Geometry as CIF:
```
data_Tb3Y8Er3
_cell_length_a 5.632
_cell_length_b 9.620
_cell_length_c 9.620
_cell_angle_alpha 101.55
_cell_angle_beta 72.98
_cell_angle_gamma 72.98
_symmetry_space_group_name_H-M 'P 1'
_symmetry_Int_Tables_number 1
_symmetry_space_group_name_Hall 'P 1'
loop_
_atom_site_label
_atom_site_type_symbol
_atom_site_fract_x
_atom_site_fract_y
_atom_site_fract_z
Tb1 Tb 0.500 0.000 0.000
Tb2 Tb 0.000 0.820 0.180
Tb3 Tb 0.000 0.180 0.820
Y1 Y 0.658 0.120 0.564
Y2 Y 0.342 0.880 0.436
Y3 Y 0.658 0.564 0.120
Y4 Y 0.342 0.436 0.880
Y5 Y 0.842 0.762 0.555
Y6 Y 0.158 0.238 0.445
Y7 Y 0.842 0.555 0.762
Y8 Y 0.158 0.445 0.238
Er1 Er 0.500 0.500 0.500
Er2 Er 0.797 0.203 0.203
Er3 Er 0.203 0.797 0.797
```

(B)
A relaxed structure of Tb3Y8Er3. Source: Alexandria via LeMat-Bulk, functional PBE.

Geometry as CIF:
```
data_Tb3Y8Er3
_cell_length_a 5.625
_cell_length_b 9.627
_cell_length_c 9.627
_cell_angle_alpha 101.85
_cell_angle_beta 73.01
_cell_angle_gamma 73.01
_symmetry_space_group_name_H-M 'P 1'
_symmetry_Int_Tables_number 1
_symmetry_space_group_name_Hall 'P 1'
loop_
_atom_site_label
_atom_site_type_symbol
_atom_site_fract_x
_atom_site_fract_y
_atom_site_fract_z
Tb1 Tb 0.500 0.500 0.500
Tb2 Tb 0.800 0.200 0.200
Tb3 Tb 0.200 0.800 0.800
Y1 Y 0.658 0.119 0.564
Y2 Y 0.342 0.881 0.436
Y3 Y 0.658 0.564 0.119
Y4 Y 0.342 0.436 0.881
Y5 Y 0.841 0.763 0.555
Y6 Y 0.159 0.237 0.445
Y7 Y 0.841 0.555 0.763
Y8 Y 0.159 0.445 0.237
Er1 Er 0.500 0.000 0.000
Er2 Er 0.000 0.818 0.182
Er3 Er 0.000 0.182 0.818
```

Most stable: (A)

(A)
A relaxed structure of TbYEr4. Source: Alexandria via LeMat-Bulk, functional PBE.

Geometry as CIF:
```
data_TbYEr4
_cell_length_a 6.430
_cell_length_b 8.865
_cell_length_c 8.481
_cell_angle_alpha 112.10
_cell_angle_beta 100.21
_cell_angle_gamma 112.72
_symmetry_space_group_name_H-M 'P 1'
_symmetry_Int_Tables_number 1
_symmetry_space_group_name_Hall 'P 1'
loop_
_atom_site_label
_atom_site_type_symbol
_atom_site_fract_x
_atom_site_fract_y
_atom_site_fract_z
Tb1 Tb 0.249 0.999 0.998
Tb2 Tb 0.751 0.001 0.002
Y1 Y 0.336 0.586 0.172
Y2 Y 0.664 0.414 0.828
Er1 Er 0.044 0.166 0.739
Er2 Er 0.745 0.711 0.609
Er3 Er 0.195 0.572 0.739
Er4 Er 0.364 0.898 0.609
Er5 Er 0.636 0.102 0.391
Er6 Er 0.805 0.428 0.261
Er7 Er 0.255 0.289 0.391
Er8 Er 0.956 0.834 0.261
```

(B)
A relaxed structure of TbYEr4. Source: Alexandria via LeMat-Bulk, functional PBE.

Geometry as CIF:
```
data_TbYEr4
_cell_length_a 6.525
_cell_length_b 6.525
_cell_length_c 6.525
_cell_angle_alpha 60.00
_cell_angle_beta 60.00
_cell_angle_gamma 60.00
_symmetry_space_group_name_H-M 'P 1'
_symmetry_Int_Tables_number 1
_symmetry_space_group_name_Hall 'P 1'
loop_
_atom_site_label
_atom_site_type_symbol
_atom_site_fract_x
_atom_site_fract_y
_atom_site_fract_z
Y1 Y 0.000 0.000 0.000
Tb1 Tb 0.250 0.250 0.250
Er1 Er 0.625 0.625 0.125
Er2 Er 0.625 0.125 0.625
Er3 Er 0.625 0.625 0.625
Er4 Er 0.125 0.625 0.625
```

(C)
A relaxed structure of TbYEr4. Source: Alexandria via LeMat-Bulk, functional PBE.

Geometry as CIF:
```
data_TbYEr4
_cell_length_a 3.530
_cell_length_b 9.323
_cell_length_c 10.572
_cell_angle_alpha 145.00
_cell_angle_beta 70.49
_cell_angle_gamma 100.99
_symmetry_space_group_name_H-M 'P 1'
_symmetry_Int_Tables_number 1
_symmetry_space_group_name_Hall 'P 1'
loop_
_atom_site_label
_atom_site_type_symbol
_atom_site_fract_x
_atom_site_fract_y
_atom_site_fract_z
Tb1 Tb 0.500 0.000 0.500
Y1 Y 0.000 0.000 0.000
Er1 Er 0.834 0.665 0.498
Er2 Er 0.166 0.335 0.502
Er3 Er 0.333 0.666 0.001
Er4 Er 0.667 0.334 0.999
```

Most stable: (C)

(A)
A relaxed structure of Tb4YEr3. Source: Alexandria via LeMat-Bulk, functional PBE.

Geometry as CIF:
```
data_Tb4YEr3
_cell_length_a 5.613
_cell_length_b 3.571
_cell_length_c 13.228
_cell_angle_alpha 90.01
_cell_angle_beta 102.25
_cell_angle_gamma 90.00
_symmetry_space_group_name_H-M 'P 1'
_symmetry_Int_Tables_number 1
_symmetry_space_group_name_Hall 'P 1'
loop_
_atom_site_label
_atom_site_type_symbol
_atom_site_fract_x
_atom_site_fract_y
_atom_site_fract_z
Y1 Y 0.500 0.000 0.000
Tb1 Tb 0.604 0.500 0.208
Tb2 Tb 0.396 0.500 0.792
Tb3 Tb 0.277 0.499 0.553
Tb4 Tb 0.723 0.501 0.447
Er1 Er 0.000 0.500 0.000
Er2 Er 0.846 0.000 0.692
Er3 Er 0.154 0.000 0.308
```

(B)
A relaxed structure of Tb4YEr3. Source: Alexandria via LeMat-Bulk, functional PBE.

Geometry as CIF:
```
data_Tb4YEr3
_cell_length_a 6.273
_cell_length_b 7.252
_cell_length_c 11.229
_cell_angle_alpha 90.00
_cell_angle_beta 90.00
_cell_angle_gamma 90.00
_symmetry_space_group_name_H-M 'P 1'
_symmetry_Int_Tables_number 1
_symmetry_space_group_name_Hall 'P 1'
loop_
_atom_site_label
_atom_site_type_symbol
_atom_site_fract_x
_atom_site_fract_y
_atom_site_fract_z
Tb1 Tb 0.146 0.874 0.000
Tb2 Tb 0.649 0.126 0.000
Tb3 Tb 0.980 0.126 0.251
Tb4 Tb 0.480 0.874 0.249
Tb5 Tb 0.149 0.874 0.500
Tb6 Tb 0.646 0.126 0.500
Tb7 Tb 0.480 0.874 0.751
Tb8 Tb 0.980 0.126 0.749
Y1 Y 0.148 0.376 0.000
Y2 Y 0.648 0.624 0.500
Er1 Er 0.648 0.624 0.000
Er2 Er 0.982 0.624 0.250
Er3 Er 0.482 0.376 0.250
Er4 Er 0.148 0.376 0.500
Er5 Er 0.482 0.376 0.750
Er6 Er 0.982 0.624 0.750
```

Most stable: (B)

(A)
A relaxed structure of Tb7Y12Er. Source: Alexandria via LeMat-Bulk, functional PBE.

Geometry as CIF:
```
data_Tb7Y12Er
_cell_length_a 6.728
_cell_length_b 10.979
_cell_length_c 10.979
_cell_angle_alpha 64.06
_cell_angle_beta 78.21
_cell_angle_gamma 101.79
_symmetry_space_group_name_H-M 'P 1'
_symmetry_Int_Tables_number 1
_symmetry_space_group_name_Hall 'P 1'
loop_
_atom_site_label
_atom_site_type_symbol
_atom_site_fract_x
_atom_site_fract_y
_atom_site_fract_z
Tb1 Tb 0.797 0.165 0.138
Tb2 Tb 0.065 0.862 0.302
Tb3 Tb 0.367 0.302 0.835
Tb4 Tb 0.500 0.000 0.000
Tb5 Tb 0.633 0.698 0.165
Tb6 Tb 0.935 0.138 0.698
Tb7 Tb 0.203 0.835 0.862
Y1 Y 0.732 0.478 0.068
Y2 Y 0.200 0.932 0.545
Y3 Y 0.293 0.211 0.211
Y4 Y 0.496 0.789 0.422
Y5 Y 0.745 0.545 0.522
Y6 Y 0.918 0.422 0.789
Y7 Y 0.082 0.578 0.211
Y8 Y 0.255 0.455 0.478
Y9 Y 0.504 0.211 0.578
Y10 Y 0.707 0.789 0.789
Y11 Y 0.800 0.068 0.455
Y12 Y 0.268 0.522 0.932
Er1 Er 0.000 0.000 0.000
```

(B)
A relaxed structure of Tb7Y12Er. Source: Alexandria via LeMat-Bulk, functional PBE.

Geometry as CIF:
```
data_Tb7Y12Er
_cell_length_a 8.705
_cell_length_b 8.705
_cell_length_c 8.705
_cell_angle_alpha 95.06
_cell_angle_beta 95.06
_cell_angle_gamma 95.06
_symmetry_space_group_name_H-M 'P 1'
_symmetry_Int_Tables_number 1
_symmetry_space_group_name_Hall 'P 1'
loop_
_atom_site_label
_atom_site_type_symbol
_atom_site_fract_x
_atom_site_fract_y
_atom_site_fract_z
Tb1 Tb 0.914 0.646 0.976
Tb2 Tb 0.354 0.024 0.086
Tb3 Tb 0.024 0.086 0.354
Tb4 Tb 0.500 0.500 0.500
Tb5 Tb 0.976 0.914 0.646
Tb6 Tb 0.646 0.976 0.914
Tb7 Tb 0.086 0.354 0.024
Y1 Y 0.817 0.249 0.689
Y2 Y 0.751 0.311 0.183
Y3 Y 0.483 0.150 0.418
Y4 Y 0.850 0.582 0.517
Y5 Y 0.311 0.183 0.751
Y6 Y 0.582 0.517 0.850
Y7 Y 0.418 0.483 0.150
Y8 Y 0.689 0.817 0.249
Y9 Y 0.150 0.418 0.483
Y10 Y 0.517 0.850 0.582
Y11 Y 0.249 0.689 0.817
Y12 Y 0.183 0.751 0.311
Er1 Er 0.000 0.000 0.000
```

Most stable: (B)

(A)
A relaxed structure of TbYEr2. Source: Alexandria via LeMat-Bulk, functional PBE.

Geometry as CIF:
```
data_TbYEr2
_cell_length_a 3.538
_cell_length_b 3.538
_cell_length_c 11.705
_cell_angle_alpha 81.31
_cell_angle_beta 81.31
_cell_angle_gamma 60.00
_symmetry_space_group_name_H-M 'P 1'
_symmetry_Int_Tables_number 1
_symmetry_space_group_name_Hall 'P 1'
loop_
_atom_site_label
_atom_site_type_symbol
_atom_site_fract_x
_atom_site_fract_y
_atom_site_fract_z
Y1 Y 0.500 0.500 0.500
Tb1 Tb 0.000 0.000 0.000
Er1 Er 0.750 0.750 0.751
Er2 Er 0.250 0.250 0.249
```

(B)
A relaxed structure of TbYEr2. Source: Alexandria via LeMat-Bulk, functional PBE.

Geometry as CIF:
```
data_TbYEr2
_cell_length_a 5.496
_cell_length_b 7.035
_cell_length_c 8.702
_cell_angle_alpha 101.53
_cell_angle_beta 50.84
_cell_angle_gamma 90.01
_symmetry_space_group_name_H-M 'P 1'
_symmetry_Int_Tables_number 1
_symmetry_space_group_name_Hall 'P 1'
loop_
_atom_site_label
_atom_site_type_symbol
_atom_site_fract_x
_atom_site_fract_y
_atom_site_fract_z
Tb1 Tb 0.445 0.890 0.114
Tb2 Tb 0.448 0.390 0.111
Y1 Y 0.208 0.825 0.850
Y2 Y 0.725 0.196 0.334
Er1 Er 0.732 0.693 0.328
Er2 Er 0.924 0.521 0.635
Er3 Er 0.922 0.023 0.637
Er4 Er 0.205 0.327 0.855
```

(C)
A relaxed structure of TbYEr2. Source: Alexandria via LeMat-Bulk, functional PBE.

Geometry as CIF:
```
data_TbYEr2
_cell_length_a 5.650
_cell_length_b 5.650
_cell_length_c 5.650
_cell_angle_alpha 60.00
_cell_angle_beta 60.00
_cell_angle_gamma 60.00
_symmetry_space_group_name_H-M 'P 1'
_symmetry_Int_Tables_number 1
_symmetry_space_group_name_Hall 'P 1'
loop_
_atom_site_label
_atom_site_type_symbol
_atom_site_fract_x
_atom_site_fract_y
_atom_site_fract_z
Y1 Y 0.000 0.000 0.000
Tb1 Tb 0.500 0.500 0.500
Er1 Er 0.250 0.250 0.250
Er2 Er 0.750 0.750 0.750
```

Most stable: (A)

(A)
A relaxed structure of TbYEr2. Source: Alexandria via LeMat-Bulk, functional PBE.

Geometry as CIF:
```
data_TbYEr2
_cell_length_a 4.998
_cell_length_b 5.005
_cell_length_c 5.005
_cell_angle_alpha 90.00
_cell_angle_beta 90.00
_cell_angle_gamma 90.00
_symmetry_space_group_name_H-M 'P 1'
_symmetry_Int_Tables_number 1
_symmetry_space_group_name_Hall 'P 1'
loop_
_atom_site_label
_atom_site_type_symbol
_atom_site_fract_x
_atom_site_fract_y
_atom_site_fract_z
Y1 Y 0.500 0.000 0.000
Tb1 Tb 0.500 0.500 0.500
Er1 Er 0.000 0.000 0.500
Er2 Er 0.000 0.500 0.000
```

(B)
A relaxed structure of TbYEr2. Source: Alexandria via LeMat-Bulk, functional PBE.

Geometry as CIF:
```
data_TbYEr2
_cell_length_a 3.567
_cell_length_b 3.567
_cell_length_c 11.577
_cell_angle_alpha 81.14
_cell_angle_beta 81.14
_cell_angle_gamma 60.00
_symmetry_space_group_name_H-M 'P 1'
_symmetry_Int_Tables_number 1
_symmetry_space_group_name_Hall 'P 1'
loop_
_atom_site_label
_atom_site_type_symbol
_atom_site_fract_x
_atom_site_fract_y
_atom_site_fract_z
Tb1 Tb 0.666 0.666 0.001
Y1 Y 0.500 0.500 0.499
Er1 Er 0.083 0.083 0.750
Er2 Er 0.250 0.250 0.250
```

Most stable: (B)

(A)
A relaxed structure of TbY3Er2. Source: Alexandria via LeMat-Bulk, functional PBE.

Geometry as CIF:
```
data_TbY3Er2
_cell_length_a 6.141
_cell_length_b 7.096
_cell_length_c 9.393
_cell_angle_alpha 112.22
_cell_angle_beta 89.99
_cell_angle_gamma 90.00
_symmetry_space_group_name_H-M 'P 1'
_symmetry_Int_Tables_number 1
_symmetry_space_group_name_Hall 'P 1'
loop_
_atom_site_label
_atom_site_type_symbol
_atom_site_fract_x
_atom_site_fract_y
_atom_site_fract_z
Tb1 Tb 0.750 0.125 0.000
Tb2 Tb 0.250 0.875 0.000
Y1 Y 0.250 0.375 0.000
Y2 Y 0.750 0.625 0.000
Y3 Y 0.083 0.292 0.334
Y4 Y 0.417 0.958 0.666
Y5 Y 0.583 0.042 0.334
Y6 Y 0.917 0.708 0.666
Er1 Er 0.583 0.542 0.334
Er2 Er 0.083 0.792 0.334
Er3 Er 0.917 0.208 0.666
Er4 Er 0.417 0.458 0.666
```

(B)
A relaxed structure of TbY3Er2. Source: Alexandria via LeMat-Bulk, functional PBE.

Geometry as CIF:
```
data_TbY3Er2
_cell_length_a 3.491
_cell_length_b 10.177
_cell_length_c 11.659
_cell_angle_alpha 108.13
_cell_angle_beta 98.61
_cell_angle_gamma 90.00
_symmetry_space_group_name_H-M 'P 1'
_symmetry_Int_Tables_number 1
_symmetry_space_group_name_Hall 'P 1'
loop_
_atom_site_label
_atom_site_type_symbol
_atom_site_fract_x
_atom_site_fract_y
_atom_site_fract_z
Tb1 Tb 0.313 0.959 0.626
Tb2 Tb 0.687 0.041 0.374
Y1 Y 0.304 0.285 0.609
Y2 Y 0.069 0.771 0.138
Y3 Y 0.441 0.560 0.881
Y4 Y 0.696 0.715 0.391
Y5 Y 0.559 0.440 0.119
Y6 Y 0.931 0.229 0.862
Er1 Er 0.307 0.627 0.614
Er2 Er 0.693 0.373 0.386
Er3 Er 0.929 0.863 0.857
Er4 Er 0.071 0.137 0.143
```

Most stable: (A)